The following is a PBE calculation of an optimized crystal structure of BaCu2Rh3Se8, from the Alexandria database.

POSCAR file:
```
BaCu2Rh3Se8
1.0
3.789 2.188 6.953
-3.789 2.188 6.953
0.000 -4.375 6.953
Ba Cu Rh Se
1 2 3 8
Cartesian
0.000 0.000 0.000
0.000 0.000 4.516
0.000 0.000 13.449
-1.876 -1.083 9.885
1.876 -1.083 9.885
0.000 2.166 9.885
0.000 -1.954 11.396
-1.692 0.977 11.396
0.000 0.000 8.587
-1.564 -0.903 15.408
1.692 0.977 11.396
0.000 0.000 17.966
1.564 -0.903 15.408
0.000 1.806 15.408
```

Values from the calculation:
Space-group type: R3m
E_form (uncorrected) (eV per atom): -0.3772